Material: KInOs
Method: DFT, PBE
State: optimized geometry

As for the space group: F-43m, No. 216. The total energy is -3.71 eV/atom. The excess energy over the best structure of this formula in the dataset comes out at 0 meV/atom.

Unit cell a=4.777 b=4.777 c=4.777 alpha=60.00 beta=60.00 gamma=60.00
Positions (direct):
Os: 0.000 0.000 0.000
K: 0.750 0.750 0.750
In: 0.250 0.250 0.250

Material: KInOs
Method: DFT, PBE
State: optimized geometry

As for the space group: F-43m, No. 216. The total energy is -2.95 eV/atom. The excess energy over the best structure of this formula in the dataset comes out at 758 meV/atom.

Unit cell a=5.124 b=5.124 c=5.124 alpha=60.00 beta=60.00 gamma=60.00
Positions (direct):
In: 0.250 0.250 0.250
K: 0.000 0.000 0.000
Os: 0.750 0.750 0.750

Material: KPaIn
Method: DFT, PBE
State: optimized geometry

As for the space group: F-43m, No. 216. The total energy is -3.43 eV/atom. The excess energy over the best structure of this formula in the dataset comes out at 0 meV/atom.

Unit cell a=5.420 b=5.420 c=5.420 alpha=60.00 beta=60.00 gamma=60.00
Site moments in Bohr magnetons follow the coordinates.
Positions (direct):
Pa: 0.750 0.750 0.750  1.13
K: 0.250 0.250 0.250  0.00
In: 0.000 0.000 0.000  -0.03

Material: K3InPd5
Method: DFT, PBE
State: optimized geometry

As for the space group: Imma, No. 74. The total energy is -3.61 eV/atom.

Unit cell a=10.476 b=10.476 c=10.476 alpha=149.21 beta=58.02 gamma=132.11
Positions (direct):
K: 0.700 0.118 0.582
K: 0.300 0.882 0.418
Pd: 0.812 0.460 0.352
Pd: 0.682 0.000 0.182
Pd: 0.392 0.540 0.852
In: 0.923 0.673 0.250
In: 0.077 0.327 0.750
Pd: 0.682 0.500 0.682
Pd: 0.318 0.000 0.818
K: 0.383 0.133 0.250
K: 0.617 0.867 0.750
Pd: 0.608 0.460 0.148
K: 0.035 0.118 0.918
Pd: 0.500 0.500 0.000
Pd: 0.188 0.540 0.648
K: 0.965 0.882 0.082
Pd: 0.000 0.500 0.500
Pd: 0.318 0.500 0.318

Material: KInTe3Pd
Method: DFT, PBE
State: optimized geometry

As for the space group: Pnma, No. 62. The total energy is -3.54 eV/atom. The excess energy over the best structure of this formula in the dataset comes out at 7 meV/atom.

Unit cell a=14.988 b=4.534 c=12.369 alpha=90.00 beta=90.00 gamma=90.00
Positions (direct):
Te: 0.383 0.250 0.250
Pd: 0.981 0.250 0.073
Te: 0.058 0.750 0.137
Te: 0.890 0.750 0.568
In: 0.018 0.250 0.635
K: 0.790 0.750 0.042
Te: 0.390 0.750 0.932
K: 0.210 0.250 0.958
Te: 0.617 0.750 0.750
K: 0.710 0.250 0.542
Te: 0.610 0.250 0.068
Te: 0.117 0.750 0.750
Te: 0.558 0.750 0.363
Te: 0.883 0.250 0.250
Te: 0.110 0.250 0.432
Te: 0.442 0.250 0.637
Pd: 0.019 0.750 0.927
In: 0.982 0.750 0.365
Pd: 0.519 0.750 0.573
Te: 0.942 0.250 0.863
K: 0.290 0.750 0.458
Pd: 0.481 0.250 0.427
In: 0.482 0.750 0.135
In: 0.518 0.250 0.865

Material: KInTe3Pd
Method: DFT, PBE
State: optimized geometry

As for the space group: P2_1/m, No. 11. The total energy is -3.54 eV/atom. The excess energy over the best structure of this formula in the dataset comes out at 0 meV/atom.

Unit cell a=9.113 b=4.525 c=9.721 alpha=90.00 beta=98.82 gamma=90.00
Positions (direct):
Pd: 0.954 0.250 0.904
Pd: 0.046 0.750 0.096
Te: 0.469 0.250 0.680
Te: 0.801 0.750 0.904
K: 0.784 0.250 0.216
Te: 0.084 0.750 0.376
K: 0.216 0.750 0.784
Te: 0.531 0.750 0.320
Te: 0.916 0.250 0.624
In: 0.675 0.750 0.603
Te: 0.199 0.250 0.096
In: 0.325 0.250 0.397

Material: KPm2In
Method: DFT, PBE
State: optimized geometry

As for the space group: P-6m2, No. 187. The total energy is -2.98 eV/atom.

Unit cell a=13.758 b=3.544 c=3.544 alpha=60.00 beta=90.00 gamma=90.00
Positions (direct):
Pm: 0.237 0.000 0.000
K: 0.500 0.667 0.667
In: 0.000 0.000 0.000
Pm: 0.763 0.000 0.000

Material: KPmIn
Method: DFT, PBE
State: optimized geometry

As for the space group: F-43m, No. 216. The total energy is -2.43 eV/atom. The excess energy over the best structure of this formula in the dataset comes out at 0 meV/atom.

Unit cell a=5.456 b=5.456 c=5.456 alpha=60.00 beta=60.00 gamma=60.00
Positions (direct):
In: 0.250 0.250 0.250
K: 0.750 0.750 0.750
Pm: 0.000 0.000 0.000

Material: KIn4Pt2
Method: DFT, PBE
State: optimized geometry

As for the space group: I4/mmm, No. 139. The total energy is -2.97 eV/atom.

Unit cell a=8.224 b=8.224 c=8.224 alpha=139.82 beta=139.82 gamma=58.12
Positions (direct):
Pt: 0.410 0.410 0.000
K: 0.000 0.000 0.000
In: 0.231 0.231 0.000
In: 0.000 0.500 0.500
In: 0.500 0.000 0.500
Pt: 0.590 0.590 0.000
In: 0.769 0.769 0.000

Material: KPuIn
Method: DFT, PBE
State: optimized geometry

As for the space group: F-43m, No. 216. The total energy is -5.33 eV/atom. The excess energy over the best structure of this formula in the dataset comes out at 0 meV/atom.

Unit cell a=5.571 b=5.571 c=5.571 alpha=60.00 beta=60.00 gamma=60.00
Site moments in Bohr magnetons follow the coordinates.
Positions (direct):
K: 0.750 0.750 0.750  0.04
In: 0.250 0.250 0.250  0.16
Pu: 0.000 0.000 0.000  5.90

Material: KIn3Re
Method: DFT, PBE
State: optimized geometry

As for the space group: I4/mcm, No. 140. The total energy is -2.78 eV/atom.

Unit cell a=7.831 b=7.831 c=7.831 alpha=120.43 beta=120.43 gamma=89.26
Site moments in Bohr magnetons follow the coordinates.
Positions (direct):
In: 0.875 0.375 0.251  -0.03
K: 0.500 0.500 0.000  -0.01
K: 0.000 0.000 0.000  -0.01
In: 0.250 0.250 0.000  -0.06
In: 0.375 0.125 0.500  -0.03
Re: 0.750 0.250 0.500  2.91
In: 0.125 0.625 0.749  -0.03
Re: 0.250 0.750 0.500  2.91
In: 0.750 0.750 0.000  -0.06
In: 0.625 0.875 0.500  -0.03

Material: KUInSe3
Method: DFT, PBE
State: optimized geometry

As for the space group: Cmcm, No. 63. The total energy is -5.20 eV/atom.

Unit cell a=8.475 b=8.475 c=12.018 alpha=90.00 beta=90.00 gamma=151.47
Site moments in Bohr magnetons follow the coordinates.
Positions (direct):
K: 0.669 0.331 0.750  0.00
Se: 0.991 0.009 0.750  -0.04
Se: 0.009 0.991 0.250  -0.04
Se: 0.614 0.386 0.999  -0.07
K: 0.331 0.669 0.250  0.00
U: 0.000 0.000 0.000  2.13
In: 0.366 0.634 0.750  -0.01
Se: 0.614 0.386 0.501  -0.07
U: 0.000 0.000 0.500  2.13
Se: 0.386 0.614 0.499  -0.07
In: 0.634 0.366 0.250  -0.01
Se: 0.386 0.614 0.001  -0.07